RbCrF2 | GGA+U | relaxed

## Properties
- E_tot: -5.110 eV/atom
- DOS at the Fermi energy: 1.13 states/eV/f.u.

a b c (Å): 7.468 7.468 7.468
angles (deg): 30.62 30.62 30.62
Fractional positions:
Rb (0.000, 0.000, 0.000)
Cr (0.500, 0.500, 0.500)
F (0.408, 0.408, 0.408)
F (0.592, 0.592, 0.592)